Pr2Sm2CCl5: optimized geometry, PBE-GGA.

a = 9.0214 Å, b = 9.0214 Å, c = 8.1941 Å
α = 103.71°, β = 103.71°, γ = 24.94°
Element x y z (fractional)
Pr 0.0017 0.0017 0.2854
Pr 0.9983 0.9983 0.7146
Sm 0.3554 0.3554 0.4175
Sm 0.6446 0.6446 0.5825
C 0.5000 0.5000 0.5000
Cl 0.1665 0.1665 0.8314
Cl 0.1732 0.1732 0.3530
Cl 0.5000 0.5000 0.0000
Cl 0.8268 0.8268 0.6470
Cl 0.8335 0.8335 0.1686

**SG**: C2/m, No. 12
**Final energy**: -54.36 eV/cell